Entry 1:
{
  "formula": "ScSbSeI2",
  "functional": "PBE",
  "state": "optimized geometry",
  "raw_formation_energy_ev_per_atom": 0.41,
  "total_energy_ry_per_atom": -0.22005,
  "dos_at_fermi_per_ev_cell": 7.364,
  "lattice": [[5.649, 0.000, 0.000], [0.000, 5.649, 0.000], [0.000, 0.000, 5.513]],
  "species": ["Sc", "Sb", "Se", "I", "I"],
  "fractional_positions": [[0.000, 0.000, 0.000], [0.500, 0.500, 0.000], [0.500, 0.500, 0.500], [0.000, 0.500, 0.500], [0.500, 0.000, 0.500]]
}



Entry 2:
{
  "formula": "ScSiSbI2",
  "functional": "PBE",
  "state": "optimized geometry",
  "raw_formation_energy_ev_per_atom": 0.34,
  "total_energy_ry_per_atom": -0.25362,
  "dos_at_fermi_per_ev_cell": 2.796,
  "lattice": [[5.367, 0.000, 0.000], [0.000, 5.367, 0.000], [0.000, 0.000, 5.497]],
  "species": ["Sc", "Si", "Sb", "I", "I"],
  "fractional_positions": [[0.000, 0.000, 0.000], [0.500, 0.500, 0.500], [0.500, 0.500, 0.000], [0.000, 0.500, 0.500], [0.500, 0.000, 0.500]]
}



Entry 3:
{
  "formula": "ScSiSbI2",
  "functional": "PBE",
  "state": "optimized geometry",
  "raw_formation_energy_ev_per_atom": 0.24,
  "total_energy_ry_per_atom": -0.26099,
  "dos_at_fermi_per_ev_cell": 4.416,
  "lattice": [[5.511, 0.000, 0.000], [0.000, 5.511, 0.000], [0.000, 0.000, 5.890]],
  "species": ["Sc", "Si", "Sb", "I", "I"],
  "fractional_positions": [[0.000, 0.000, 0.000], [0.500, 0.500, 0.500], [0.000, 0.000, 0.500], [0.000, 0.500, 0.000], [0.500, 0.000, 0.000]]
}



Entry 4:
{
  "formula": "ScSnSb2I",
  "functional": "PBE",
  "state": "optimized geometry",
  "raw_formation_energy_ev_per_atom": 0.54,
  "total_energy_ry_per_atom": -0.25643,
  "dos_at_fermi_per_ev_cell": 3.908,
  "lattice": [[5.625, 0.000, 0.000], [0.000, 5.625, 0.000], [0.000, 0.000, 5.773]],
  "species": ["Sc", "Sn", "Sb", "Sb", "I"],
  "fractional_positions": [[0.000, 0.000, 0.000], [0.500, 0.500, 0.500], [0.000, 0.500, 0.500], [0.500, 0.000, 0.500], [0.500, 0.500, 0.000]]
}



Entry 5:
{
  "formula": "ScSnSb2I",
  "functional": "PBE",
  "state": "optimized geometry",
  "raw_formation_energy_ev_per_atom": 0.06,
  "total_energy_ry_per_atom": -0.29143,
  "dos_at_fermi_per_ev_cell": 5.659,
  "lattice": [[5.585, 0.000, 0.000], [0.000, 5.585, 0.000], [0.000, 0.000, 5.554]],
  "species": ["Sc", "Sn", "Sb", "Sb", "I"],
  "fractional_positions": [[0.000, 0.000, 0.000], [0.500, 0.500, 0.500], [0.000, 0.500, 0.000], [0.500, 0.000, 0.000], [0.000, 0.000, 0.500]]
}



Entry 6:
{
  "formula": "SrScSbI2",
  "functional": "PBE",
  "state": "optimized geometry",
  "raw_formation_energy_ev_per_atom": -0.84,
  "total_energy_ry_per_atom": -0.28559,
  "dos_at_fermi_per_ev_cell": 0.696,
  "lattice": [[5.664, 0.000, 0.000], [0.000, 5.664, 0.000], [0.000, 0.000, 5.802]],
  "species": ["Sr", "Sc", "Sb", "I", "I"],
  "fractional_positions": [[0.000, 0.000, 0.000], [0.500, 0.500, 0.500], [0.500, 0.500, 0.000], [0.000, 0.500, 0.500], [0.500, 0.000, 0.500]]
}



Entry 7:
{
  "formula": "SrScSbI2",
  "functional": "PBE",
  "state": "optimized geometry",
  "raw_formation_energy_ev_per_atom": -0.04,
  "total_energy_ry_per_atom": -0.22699,
  "dos_at_fermi_per_ev_cell": 5.659,
  "lattice": [[6.049, 0.000, 0.000], [0.000, 6.049, 0.000], [0.000, 0.000, 6.522]],
  "species": ["Sr", "Sc", "Sb", "I", "I"],
  "fractional_positions": [[0.000, 0.000, 0.000], [0.500, 0.500, 0.500], [0.000, 0.000, 0.500], [0.000, 0.500, 0.000], [0.500, 0.000, 0.000]]
}



Entry 8:
{
  "formula": "ScTaSbI2",
  "functional": "PBE",
  "state": "optimized geometry",
  "raw_formation_energy_ev_per_atom": 0.55,
  "total_energy_ry_per_atom": -0.33338,
  "dos_at_fermi_per_ev_cell": 6.189,
  "lattice": [[5.477, 0.000, 0.000], [0.000, 5.477, 0.000], [0.000, 0.000, 5.526]],
  "species": ["Sc", "Ta", "Sb", "I", "I"],
  "fractional_positions": [[0.000, 0.000, 0.000], [0.500, 0.500, 0.500], [0.500, 0.500, 0.000], [0.000, 0.500, 0.500], [0.500, 0.000, 0.500]]
}



no.,energy above the lowest structure with this stoichiometry (kJ/mol of atoms)
1,45.67
2,9.68
3,0.00
4,45.94
5,0.00
6,0.00
7,76.93
8,0.00